# 1
Ta3FeOs2 | PBE-GGA | relaxed

Its space group is Cmmm (65). Its calculated formation energy is -260 meV/atom.

Lattice parameters (Å, degrees): 7.014 7.014 6.411 90.00 90.00 143.15
Fractional coordinates of all 12 atoms:
Ta 0.000 0.000 0.245
Ta 0.000 0.000 0.755
Ta 0.330 0.670 0.239
Ta 0.330 0.670 0.761
Ta 0.670 0.330 0.239
Ta 0.670 0.330 0.761
Fe 0.164 0.836 0.000
Fe 0.836 0.164 0.000
Os 0.166 0.834 0.500
Os 0.500 0.500 0.000
Os 0.500 0.500 0.500
Os 0.834 0.166 0.500

# 2
CsTeI2F | PBE-GGA | relaxed

Its space group is P4/mmm (123). The value obtained for the relative energy among the computed polymorphs is 390 meV per atom. The calculation puts the energy relative to the elements, uncorrected at -0.67 eV per atom.

Lattice parameters (Å, degrees): 5.868 5.868 8.262 90.00 90.00 90.00
Fractional coordinates of all 5 atoms:
Cs 0.000 0.000 0.000
Te 0.000 0.000 0.500
I 0.000 0.500 0.500
I 0.500 0.000 0.500
F 0.500 0.500 0.000